# 1
DFT (GGA-PBE) results for a relaxed Pr2NdThSe4 crystal.

Computed properties:
Total magnetic moment (μB per cell): 0.00
E (eV per atom): -6.2215
Fermi-level density of states (states/eV/cell): 4.23

Cell lengths 7.348, 4.225, 7.357 Å; angles 90.00, 109.36, 90.00 degrees
Sites, in units of the cell vectors:
Pr 0.000 0.000 0.000
Pr 0.000 0.500 0.500
Nd 0.500 0.000 0.500
Th 0.500 0.500 0.000
Se 0.254 0.000 0.752
Se 0.254 0.500 0.250
Se 0.746 0.000 0.248
Se 0.746 0.500 0.750

---

# 2
DFT (GGA-PBE) results for a relaxed ThPt4 crystal.

Computed properties:
Total magnetic moment (μB per cell): 0.00
E (eV per atom): -7.0549
Energy of formation from the pure elements (eV per formula unit): -3.69
Fermi-level density of states (states/eV/cell): 12.70

Cell lengths 8.012, 8.012, 8.012 Å; angles 109.47, 109.47, 109.47 degrees
Sites, in units of the cell vectors:
Th 0.000 0.000 0.444
Th 0.000 0.444 0.000
Th 0.444 0.000 0.000
Th 0.556 0.556 0.556
Pt 0.000 0.000 0.785
Pt 0.000 0.349 0.349
Pt 0.000 0.651 0.651
Pt 0.000 0.785 0.000
Pt 0.215 0.215 0.215
Pt 0.250 0.500 0.750
Pt 0.250 0.750 0.500
Pt 0.349 0.000 0.349
Pt 0.349 0.349 0.000
Pt 0.500 0.250 0.750
Pt 0.500 0.750 0.250
Pt 0.651 0.000 0.651
Pt 0.651 0.651 0.000
Pt 0.750 0.250 0.500
Pt 0.750 0.500 0.250
Pt 0.785 0.000 0.000

---

# 3
DFT (GGA-PBE) results for a relaxed RbRe3Mo crystal.

Computed properties:
Total magnetic moment (μB per cell): 0.52
E (eV per atom): -5.7435
Energy of formation from the pure elements (eV per formula unit): 20.43
Fermi-level density of states (states/eV/cell): 6.15

Cell lengths 4.594, 4.594, 4.594 Å; angles 90.00, 90.00, 90.00 degrees
Sites, in units of the cell vectors:
Rb 0.000 0.000 0.000
Re 0.000 0.000 0.500
Re 0.000 0.500 0.000
Re 0.500 0.000 0.000
Mo 0.500 0.500 0.500

---

# 4
DFT (GGA-PBE) results for a relaxed ZrSc5 crystal.

Computed properties:
Total magnetic moment (μB per cell): 0.00
E (eV per atom): -6.6770
Energy of formation from the pure elements (eV per formula unit): 0.14
Fermi-level density of states (states/eV/cell): 8.91

Cell lengths 7.249, 7.249, 4.582 Å; angles 90.00, 90.00, 143.16 degrees
Sites, in units of the cell vectors:
Zr 0.000 0.000 0.000
Sc 0.162 0.838 0.500
Sc 0.338 0.662 0.000
Sc 0.500 0.500 0.500
Sc 0.662 0.338 0.000
Sc 0.838 0.162 0.500

---

# 5
DFT (GGA-PBE) results for a relaxed NaTaZn crystal.

Computed properties:
Total magnetic moment (μB per cell): 0.00
E (eV per atom): -4.4866
Energy of formation from the pure elements (eV per formula unit): 0.99
Fermi-level density of states (states/eV/cell): 3.28

Cell lengths 2.923, 3.721, 11.906 Å; angles 90.00, 90.30, 90.00 degrees
Sites, in units of the cell vectors:
Na 0.000 0.000 0.000
Na 0.484 0.500 0.262
Ta 0.489 0.500 0.554
Ta 0.495 0.500 0.789
Zn 0.987 0.000 0.433
Zn 0.992 0.000 0.676

---

# 6
DFT (GGA-PBE) results for a relaxed Tb2CePr6Nd crystal.

Computed properties:
Total magnetic moment (μB per cell): 1.20
E (eV per atom): -4.6360
Energy of formation from the pure elements (eV per formula unit): 2.28
Fermi-level density of states (states/eV/cell): 22.47

Cell lengths 6.694, 6.694, 9.002 Å; angles 100.53, 100.53, 63.89 degrees
Sites, in units of the cell vectors:
Tb 0.093 0.093 0.156
Tb 0.907 0.907 0.844
Ce 0.500 0.500 0.000
Pr 0.066 0.594 0.202
Pr 0.371 0.371 0.583
Pr 0.406 0.934 0.798
Pr 0.594 0.066 0.202
Pr 0.629 0.629 0.417
Pr 0.934 0.406 0.798
Nd 0.000 0.000 0.500

---

# 7
DFT (GGA-PBE) results for a relaxed Ce2PaTl crystal.

Computed properties:
Total magnetic moment (μB per cell): 0.00
E (eV per atom): -5.6220
Energy of formation from the pure elements (eV per formula unit): 1.24
Fermi-level density of states (states/eV/cell): 9.53

Cell lengths 8.462, 8.462, 8.462 Å; angles 26.95, 26.95, 26.95 degrees
Sites, in units of the cell vectors:
Ce 0.232 0.232 0.232
Ce 0.768 0.768 0.768
Pa 0.500 0.500 0.500
Tl 0.000 0.000 0.000

---

# 8
DFT (GGA-PBE) results for a relaxed Er4InNi crystal.

Computed properties:
Total magnetic moment (μB per cell): 0.00
E (eV per atom): -4.8386
Energy of formation from the pure elements (eV per formula unit): -2.26
Fermi-level density of states (states/eV/cell): 19.67

Cell lengths 9.504, 9.504, 9.504 Å; angles 60.00, 60.00, 60.00 degrees
Sites, in units of the cell vectors:
Er 0.062 0.062 0.438
Er 0.062 0.438 0.062
Er 0.062 0.438 0.438
Er 0.187 0.187 0.813
Er 0.187 0.813 0.187
Er 0.187 0.813 0.813
Er 0.206 0.598 0.598
Er 0.438 0.062 0.062
Er 0.438 0.062 0.438
Er 0.438 0.438 0.062
Er 0.598 0.206 0.598
Er 0.598 0.598 0.206
Er 0.598 0.598 0.598
Er 0.813 0.187 0.187
Er 0.813 0.187 0.813
Er 0.813 0.813 0.187
In 0.501 0.833 0.833
In 0.833 0.501 0.833
In 0.833 0.833 0.501
In 0.833 0.833 0.833
Ni 0.393 0.393 0.393
Ni 0.393 0.393 0.822
Ni 0.393 0.822 0.393
Ni 0.822 0.393 0.393

---

# 9
DFT (GGA-PBE) results for a relaxed Zn2Te crystal.

Computed properties:
Total magnetic moment (μB per cell): 0.00
E (eV per atom): -1.8646
Fermi-level density of states (states/eV/cell): 3.36

Cell lengths 3.792, 3.792, 9.301 Å; angles 90.00, 90.00, 90.00 degrees
Sites, in units of the cell vectors:
Zn 0.250 0.250 0.223
Zn 0.250 0.750 0.000
Zn 0.750 0.250 0.000
Zn 0.750 0.750 0.777
Te 0.250 0.250 0.677
Te 0.750 0.750 0.323

---

# 10
DFT (GGA-PBE) results for a relaxed Sm6Dy16Er7 crystal.

Computed properties:
Total magnetic moment (μB per cell): 1.08
E (eV per atom): -4.3803
Energy of formation from the pure elements (eV per formula unit): 6.86
Fermi-level density of states (states/eV/cell): 56.42

Cell lengths 11.108, 11.108, 11.108 Å; angles 60.00, 60.00, 60.00 degrees
Sites, in units of the cell vectors:
Sm 0.222 0.222 0.778
Sm 0.222 0.778 0.222
Sm 0.222 0.778 0.778
Sm 0.778 0.222 0.222
Sm 0.778 0.222 0.778
Sm 0.778 0.778 0.222
Dy 0.128 0.624 0.624
Dy 0.152 0.152 0.152
Dy 0.152 0.152 0.545
Dy 0.152 0.545 0.152
Dy 0.376 0.376 0.376
Dy 0.376 0.376 0.872
Dy 0.376 0.872 0.376
Dy 0.455 0.848 0.848
Dy 0.545 0.152 0.152
Dy 0.624 0.128 0.624
Dy 0.624 0.624 0.128
Dy 0.624 0.624 0.624
Dy 0.848 0.455 0.848
Dy 0.848 0.848 0.455
Dy 0.848 0.848 0.848
Dy 0.872 0.376 0.376
Er 0.000 0.000 0.500
Er 0.000 0.500 0.000
Er 0.000 0.500 0.500
Er 0.500 0.000 0.000
Er 0.500 0.000 0.500
Er 0.500 0.500 0.000
Er 0.500 0.500 0.500

---

# 11
DFT (GGA-PBE) results for a relaxed InNiN crystal.

Computed properties:
Total magnetic moment (μB per cell): 0.00
E (eV per atom): -5.4455
Fermi-level density of states (states/eV/cell): 3.75

Cell lengths 4.812, 4.812, 7.747 Å; angles 102.87, 102.87, 34.91 degrees
Sites, in units of the cell vectors:
In 0.153 0.153 0.128
In 0.847 0.847 0.872
Ni 0.093 0.093 0.738
Ni 0.907 0.907 0.262
N 0.471 0.471 0.421
N 0.529 0.529 0.579

---

# 12
DFT (GGA-PBE) results for a relaxed Ga3TcTe crystal.

Computed properties:
Total magnetic moment (μB per cell): 1.33
E (eV per atom): -4.2103
Fermi-level density of states (states/eV/cell): 5.65

Cell lengths 4.930, 4.930, 4.930 Å; angles 90.00, 90.00, 90.00 degrees
Sites, in units of the cell vectors:
Ga 0.000 0.000 0.500
Ga 0.000 0.500 0.000
Ga 0.500 0.000 0.000
Tc 0.000 0.000 0.000
Te 0.500 0.500 0.500

---

# 13
DFT (GGA-PBE) results for a relaxed Cu2SbW crystal.

Computed properties:
Total magnetic moment (μB per cell): 0.00
E (eV per atom): -5.6853
Fermi-level density of states (states/eV/cell): 4.20

Cell lengths 5.050, 5.050, 5.050 Å; angles 135.02, 135.02, 65.51 degrees
Sites, in units of the cell vectors:
Cu 0.250 0.750 0.500
Cu 0.750 0.250 0.500
Sb 0.000 0.000 0.000
W 0.500 0.500 0.000

---

# 14
DFT (GGA-PBE) results for a relaxed Na2InHg2Bi2 crystal.

Computed properties:
Total magnetic moment (μB per cell): 0.00
E (eV per atom): -2.1012
Energy of formation from the pure elements (eV per formula unit): -0.97
Fermi-level density of states (states/eV/cell): 3.46

Cell lengths 8.656, 8.656, 8.656 Å; angles 35.54, 35.54, 35.54 degrees
Sites, in units of the cell vectors:
Na 0.136 0.136 0.136
Na 0.864 0.864 0.864
In 0.000 0.000 0.000
Hg 0.433 0.433 0.433
Hg 0.567 0.567 0.567
Bi 0.274 0.274 0.274
Bi 0.726 0.726 0.726

---

# 15
DFT (GGA-PBE) results for a relaxed InCoTc2C crystal.

Computed properties:
Total magnetic moment (μB per cell): 0.04
E (eV per atom): -7.8286
Energy of formation from the pure elements (eV per formula unit): 0.66
Fermi-level density of states (states/eV/cell): 5.83

Cell lengths 4.136, 4.136, 3.884 Å; angles 90.00, 90.00, 90.00 degrees
Sites, in units of the cell vectors:
In 0.000 0.000 0.000
Co 0.500 0.500 0.000
Tc 0.000 0.500 0.500
Tc 0.500 0.000 0.500
C 0.500 0.500 0.500

---

# 16
DFT (GGA-PBE) results for a relaxed SbAsC crystal.

Computed properties:
Total magnetic moment (μB per cell): 0.00
E (eV per atom): -5.4188
Fermi-level density of states (states/eV/cell): 0.73

Cell lengths 10.661, 10.661, 3.130 Å; angles 90.15, 90.15, 21.71 degrees
Sites, in units of the cell vectors:
Sb 0.000 0.000 0.000
Sb 0.210 0.210 0.504
As 0.361 0.361 0.506
As 0.586 0.586 0.001
C 0.626 0.959 0.505
C 0.959 0.626 0.505

---

# 17
DFT (GGA-PBE) results for a relaxed MnSeSN2 crystal.

Computed properties:
Total magnetic moment (μB per cell): 0.19
E (eV per atom): -5.9656
Fermi-level density of states (states/eV/cell): 3.31

Cell lengths 3.581, 3.581, 5.510 Å; angles 90.00, 90.00, 90.00 degrees
Sites, in units of the cell vectors:
Mn 0.000 0.000 0.000
Se 0.000 0.000 0.500
S 0.500 0.500 0.500
N 0.000 0.500 0.000
N 0.500 0.000 0.000

---

# 18
DFT (GGA-PBE) results for a relaxed BeFeSN2 crystal.

Computed properties:
Total magnetic moment (μB per cell): 0.00
E (eV per atom): -5.8187
Fermi-level density of states (states/eV/cell): 3.59

Cell lengths 3.466, 3.466, 5.135 Å; angles 90.00, 90.00, 90.00 degrees
Sites, in units of the cell vectors:
Be 0.000 0.000 0.000
Fe 0.500 0.500 0.500
S 0.500 0.500 0.000
N 0.000 0.500 0.500
N 0.500 0.000 0.500

---

# 19
DFT (GGA-PBE) results for a relaxed BaTaSbTe2 crystal.

Computed properties:
Total magnetic moment (μB per cell): 0.00
E (eV per atom): -5.2974
Fermi-level density of states (states/eV/cell): 3.82

Cell lengths 5.566, 5.566, 5.411 Å; angles 90.00, 90.00, 90.00 degrees
Sites, in units of the cell vectors:
Ba 0.000 0.000 0.000
Ta 0.500 0.500 0.500
Sb 0.500 0.500 0.000
Te 0.000 0.500 0.500
Te 0.500 0.000 0.500

---

# 20
DFT (GGA-PBE) results for a relaxed NdY4TlS8 crystal.

Computed properties:
Total magnetic moment (μB per cell): 0.00
E (eV per atom): -6.5271

Cell lengths 8.339, 8.339, 8.339 Å; angles 58.99, 58.99, 58.99 degrees
Sites, in units of the cell vectors:
Nd 0.000 0.000 0.000
Y 0.000 0.000 0.484
Y 0.000 0.484 0.000
Y 0.484 0.000 0.000
Y 0.622 0.622 0.622
Tl 0.368 0.368 0.368
S 0.226 0.749 0.749
S 0.228 0.228 0.228
S 0.235 0.235 0.792
S 0.235 0.792 0.235
S 0.749 0.226 0.749
S 0.749 0.749 0.226
S 0.753 0.753 0.753
S 0.792 0.235 0.235

---

# 21
DFT (GGA-PBE) results for a relaxed LuURe2 crystal.

Computed properties:
Total magnetic moment (μB per cell): 0.00
E (eV per atom): -9.8141
Energy of formation from the pure elements (eV per formula unit): 1.45
Fermi-level density of states (states/eV/cell): 5.37

Cell lengths 8.450, 8.450, 8.450 Å; angles 22.97, 22.97, 22.97 degrees
Sites, in units of the cell vectors:
Lu 0.000 0.000 0.000
U 0.500 0.500 0.500
Re 0.240 0.240 0.240
Re 0.760 0.760 0.760

---

# 22
DFT (GGA-PBE) results for a relaxed Pt3Rh2W crystal.

Computed properties:
Total magnetic moment (μB per cell): 0.00
E (eV per atom): -7.6743
Energy of formation from the pure elements (eV per formula unit): -0.27
Fermi-level density of states (states/eV/cell): 13.02

Cell lengths 7.043, 7.043, 11.014 Å; angles 115.87, 115.87, 22.53 degrees
Sites, in units of the cell vectors:
Pt 0.044 0.044 0.223
Pt 0.248 0.248 0.693
Pt 0.394 0.394 0.960
Pt 0.606 0.606 0.040
Pt 0.752 0.752 0.307
Pt 0.956 0.956 0.777
Rh 0.177 0.177 0.885
Rh 0.361 0.361 0.536
Rh 0.639 0.639 0.464
Rh 0.823 0.823 0.115
W 0.434 0.434 0.346
W 0.566 0.566 0.654

---

# 23
DFT (GGA-PBE) results for a relaxed Ca2TeRu crystal.

Computed properties:
Total magnetic moment (μB per cell): 0.00
E (eV per atom): -4.3981
Fermi-level density of states (states/eV/cell): 2.07

Cell lengths 4.812, 4.812, 4.063 Å; angles 90.00, 90.00, 90.00 degrees
Sites, in units of the cell vectors:
Ca 0.000 0.500 0.000
Ca 0.500 0.000 0.000
Te 0.000 0.000 0.500
Ru 0.500 0.500 0.500